--- a ---
The following is a PBE-GGA calculation of a relaxed TiP2H crystal, from Alexandria.

Results
Crystal system   tetragonal

abc: 5.647 5.647 5.882
angles: 90.00 90.00 90.00
Space group I-42d (No. 122)
One atom of each set of equivalent atoms:
Ti  0.000  0.000  0.000 x4
P  0.155  0.250  0.625 x8
H  0.000  0.000  0.500 x4

=====

--- b ---
The following is a PBE-GGA calculation of a relaxed TiP2H crystal, from Alexandria.

Results
Crystal system   cubic

abc: 5.920 5.920 5.920
angles: 90.00 90.00 90.00
Space group Fm-3m (No. 225)
One atom of each set of equivalent atoms:
Ti  0.000  0.000  0.000 x4
P  0.250  0.250  0.250 x8
H  0.000  0.000  0.500 x4

=====

a ends up most stable, edging out the next structure by 422 meV/atom.

=====

--- a ---
The following is a PBE-GGA calculation of a relaxed Tl2PH crystal, from Alexandria.

Results
Crystal system   cubic

abc: 6.883 6.883 6.883
angles: 90.00 90.00 90.00
Space group Fm-3m (No. 225)
One atom of each set of equivalent atoms:
Tl  0.250  0.250  0.250 x8
P  0.000  0.000  0.000 x4
H  0.000  0.000  0.500 x4

=====

--- b ---
The following is a PBE-GGA calculation of a relaxed Tl2PH crystal, from Alexandria.

Results
Crystal system   tetragonal

abc: 5.295 5.295 13.572
angles: 90.00 90.00 90.00
Space group I-42d (No. 122)
One atom of each set of equivalent atoms:
Tl  0.189  0.250  0.125 x8
P  0.000  0.000  0.500 x4
H  0.000  0.000  0.000 x4

=====

b ends up most stable, edging out the next structure by 89 meV/atom.

=====

--- a ---
The following is a PBE-GGA calculation of a relaxed Tm2PH crystal, from Alexandria.

Results
Crystal system   trigonal

abc: 3.7628 3.7628 20.2597
angles: 90.00 90.00 120.00
Space group R3m (No. 160, hexagonal axes)
One atom of each set of equivalent atoms:
Tm  0.0000  0.0000  0.0000 x3
Tm  0.0000  0.0000  0.1750 x3
P  0.0000  0.0000  0.5917 x3
H  0.0000  0.0000  0.8180 x3

=====

--- b ---
The following is a PBE-GGA calculation of a relaxed Tm2PH crystal, from Alexandria.

Results
Crystal system   trigonal

abc: 3.9534 3.9534 20.7451
angles: 90.00 90.00 120.00
Space group R-3m (No. 166, hexagonal axes)
One atom of each set of equivalent atoms:
Tm  0.0000  0.0000  0.0962 x6
P  0.0000  0.0000  0.5000 x3
H  0.0000  0.0000  0.0000 x3

=====

a ends up most stable, edging out the next structure by 98 meV/atom.

=====

--- a ---
The following is a PBE-GGA calculation of a relaxed VPH2 crystal, from Alexandria.

Results
Crystal system   trigonal

abc: 3.1204 3.1204 11.6077
angles: 90.00 90.00 120.00
Space group R-3m (No. 166, hexagonal axes)
One atom of each set of equivalent atoms:
V  0.0000  0.0000  0.0000 x3
P  0.0000  0.0000  0.5000 x3
H  0.0000  0.0000  0.1422 x6

=====

--- b ---
The following is a PBE-GGA calculation of a relaxed VPH2 crystal, from Alexandria.

Results
Crystal system   tetragonal

abc: 4.202 4.202 8.179
angles: 90.00 90.00 90.00
Space group I-42d (No. 122)
One atom of each set of equivalent atoms:
V  0.000  0.000  0.000 x4
P  0.000  0.000  0.500 x4
H  0.192  0.250  0.125 x8

=====

--- c ---
The following is a PBE-GGA calculation of a relaxed VPH2 crystal, from Alexandria.

Results
Crystal system   cubic

abc: 5.143 5.143 5.143
angles: 90.00 90.00 90.00
Space group Fm-3m (No. 225)
One atom of each set of equivalent atoms:
V  0.000  0.000  0.000 x4
P  0.000  0.000  0.500 x4
H  0.250  0.250  0.250 x8

=====

a ends up most stable, edging out the next structure by 117 meV/atom.

=====

--- a ---
The following is a PBE-GGA calculation of a relaxed VP2H crystal, from Alexandria.

Results
Crystal system   trigonal

abc: 3.0947 3.0947 19.5392
angles: 90.00 90.00 120.00
Space group R-3m (No. 166, hexagonal axes)
One atom of each set of equivalent atoms:
V  0.0000  0.0000  0.0000 x3
P  0.0000  0.0000  0.4129 x6
H  0.0000  0.0000  0.5000 x3

=====

--- b ---
The following is a PBE-GGA calculation of a relaxed VP2H crystal, from Alexandria.

Results
Crystal system   cubic

abc: 5.722 5.722 5.722
angles: 90.00 90.00 90.00
Space group Fm-3m (No. 225)
One atom of each set of equivalent atoms:
V  0.000  0.000  0.000 x4
P  0.250  0.250  0.250 x8
H  0.000  0.000  0.500 x4

=====

--- c ---
The following is a PBE-GGA calculation of a relaxed VP2H crystal, from Alexandria.

Results
Crystal system   tetragonal

abc: 5.505 5.505 5.701
angles: 90.00 90.00 90.00
Space group I-42d (No. 122)
One atom of each set of equivalent atoms:
V  0.000  0.000  0.000 x4
P  0.164  0.750  0.625 x8
H  0.000  0.000  0.500 x4

=====

a ends up most stable, edging out the next structure by 296 meV/atom.

=====

--- a ---
The following is a PBE-GGA calculation of a relaxed VPH crystal, from Alexandria.

Results
Crystal system   tetragonal

abc: 2.680 2.680 8.354
angles: 90.00 90.00 90.00
Space group I4mm (No. 107)
One atom of each set of equivalent atoms:
V  0.000  0.000  0.000 x2
P  0.000  0.000  0.706 x2
H  0.000  0.000  0.420 x2

=====

--- b ---
The following is a PBE-GGA calculation of a relaxed VPH crystal, from Alexandria.

Results
Crystal system   triclinic

abc: 4.567 5.775 10.425
angles: 81.75 87.88 68.82
Space group P1 (No. 1)
One atom of each set of equivalent atoms:
V  0.000  0.000  0.000 x1
V  0.004  0.489  0.068 x1
V  0.089  0.992  0.481 x1
V  0.200  0.129  0.740 x1
V  0.217  0.603  0.837 x1
V  0.244  0.498  0.329 x1
V  0.254  0.019  0.210 x1
V  0.552  0.368  0.588 x1
P  0.033  0.396  0.530 x1
P  0.422  0.175  0.976 x1
P  0.435  0.625  0.117 x1
P  0.448  0.754  0.650 x1
P  0.596  0.091  0.374 x1
P  0.808  0.930  0.683 x1
P  0.811  0.407  0.866 x1
P  0.827  0.822  0.199 x1
H  0.257  0.806  0.354 x1
H  0.277  0.871  0.881 x1
H  0.380  0.348  0.743 x1
H  0.509  0.904  0.477 x1
H  0.547  0.510  0.419 x1
H  0.607  0.457  0.286 x1
H  0.893  0.761  0.943 x1
H  0.895  0.230  0.134 x1

=====

b ends up most stable, edging out the next structure by 244 meV/atom.

=====

--- a ---
The following is a PBE-GGA calculation of a relaxed VPH crystal, from Alexandria.

Results
Crystal system   hexagonal

abc: 3.2273 3.2273 3.1612
angles: 90.00 90.00 120.00
Space group P-6m2 (No. 187)
One atom of each set of equivalent atoms:
V  0.0000  0.0000  0.0000 x1
P  0.3333  0.6667  0.5000 x1
H  0.6667  0.3333  0.0000 x1

=====

--- b ---
The following is a PBE-GGA calculation of a relaxed VPH crystal, from Alexandria.

Results
Crystal system   tetragonal

abc: 3.705 3.705 6.328
angles: 90.00 90.00 90.00
Space group P4/nmm (No. 129, origin choice 2)
One atom of each set of equivalent atoms:
V  0.250  0.750  0.000 x2
P  0.250  0.250  0.235 x2
H  0.250  0.250  0.461 x2

=====

a ends up most stable, edging out the next structure by 307 meV/atom.

=====

--- a ---
The following is a PBE-GGA calculation of a relaxed PHW2 crystal, from Alexandria.

Results
Crystal system   tetragonal

abc: 4.762 4.762 9.795
angles: 90.00 90.00 90.00
Space group I-42d (No. 122)
One atom of each set of equivalent atoms:
P  0.000  0.000  0.000 x4
H  0.000  0.000  0.500 x4
W  0.153  0.250  0.625 x8

=====

--- b ---
The following is a PBE-GGA calculation of a relaxed PHW2 crystal, from Alexandria.

Results
Crystal system   cubic

abc: 5.795 5.795 5.795
angles: 90.00 90.00 90.00
Space group Fm-3m (No. 225)
One atom of each set of equivalent atoms:
P  0.000  0.000  0.000 x4
H  0.000  0.000  0.500 x4
W  0.250  0.250  0.250 x8

=====

a ends up most stable, edging out the next structure by 6 meV/atom.

=====

--- a ---
The following is a PBE-GGA calculation of a relaxed Y2PH crystal, from Alexandria.

Results
Crystal system   cubic

abc: 6.657 6.657 6.657
angles: 90.00 90.00 90.00
Space group Fm-3m (No. 225)
One atom of each set of equivalent atoms:
Y  0.250  0.250  0.250 x8
P  0.000  0.000  0.000 x4
H  0.000  0.000  0.500 x4

=====

--- b ---
The following is a PBE-GGA calculation of a relaxed Y2PH crystal, from Alexandria.

Results
Crystal system   trigonal

abc: 3.8412 3.8412 20.5323
angles: 90.00 90.00 120.00
Space group R3m (No. 160, hexagonal axes)
One atom of each set of equivalent atoms:
Y  0.0000  0.0000  0.0000 x3
Y  0.0000  0.0000  0.1765 x3
P  0.0000  0.0000  0.5928 x3
H  0.0000  0.0000  0.8169 x3

=====

b ends up most stable, edging out the next structure by 200 meV/atom.

=====

--- a ---
The following is a PBE-GGA calculation of a relaxed Y2PH crystal, from Alexandria.

Results
Crystal system   trigonal

abc: 3.9031 3.9031 17.6767
angles: 90.00 90.00 120.00
Space group R-3m (No. 166, hexagonal axes)
One atom of each set of equivalent atoms:
Y  0.0000  0.0000  0.2468 x6
P  0.0000  0.0000  0.0000 x3
H  0.0000  0.0000  0.5000 x3

=====

--- b ---
The following is a PBE-GGA calculation of a relaxed Y2PH crystal, from Alexandria.

Results
Crystal system   tetragonal

abc: 6.670 6.670 6.873
angles: 90.00 90.00 90.00
Space group I-42d (No. 122)
One atom of each set of equivalent atoms:
Y  0.192  0.250  0.125 x8
P  0.000  0.000  0.500 x4
H  0.000  0.000  0.000 x4

=====

a ends up most stable, edging out the next structure by 95 meV/atom.

=====

--- a ---
The following is a PBE-GGA calculation of a relaxed ZnPH crystal, from Alexandria.

Results
Crystal system   monoclinic

abc: 6.781 3.925 7.183
angles: 90.00 109.66 90.00
Space group C2 (No. 5)
One atom of each set of equivalent atoms:
Zn  0.113  0.000  0.345 x4
P  0.000  0.475  0.500 x2
P  0.000  0.852  0.000 x2
H  0.156  0.605  0.009 x4

=====

--- b ---
The following is a PBE-GGA calculation of a relaxed ZnPH crystal, from Alexandria.

Results
Crystal system   monoclinic

abc: 5.746 6.358 6.895
angles: 90.00 103.78 90.00
Space group P2_1/c (No. 14)
One atom of each set of equivalent atoms:
Zn  0.110  0.199  0.379 x4
P  0.221  0.037  0.694 x4
H  0.461  0.515  0.294 x4

=====

--- c ---
The following is a PBE-GGA calculation of a relaxed ZnPH crystal, from Alexandria.

Results
Crystal system   trigonal

abc: 4.0808 4.0808 22.4952
angles: 90.00 90.00 120.00
Space group R-3m (No. 166, hexagonal axes)
One atom of each set of equivalent atoms:
Zn  0.0000  0.0000  0.1013 x6
P  0.0000  0.0000  0.2405 x6
H  0.0000  0.0000  0.3042 x6

=====

--- d ---
The following is a PBE-GGA calculation of a relaxed ZnPH crystal, from Alexandria.

Results
Crystal system   orthorhombic

abc: 8.047 6.851 4.116
angles: 90.00 90.00 90.00
Space group Pnma (No. 62)
One atom of each set of equivalent atoms:
Zn  0.000  0.000  0.000 x4
P  0.035  0.250  0.367 x4
H  0.139  0.750  0.554 x4

=====

c ends up most stable, edging out the next structure by 6 meV/atom.